DFT (GGA-PBE) results for an optimized crystal structure of CaRh2F.

Cell: 8.404 8.404 8.404 Å, 147.10 147.10 47.22°
Fractional coordinates of all 8 atoms:
Ca 0.375 0.625 0.750
Ca 0.625 0.375 0.250
Rh 0.000 0.000 0.000
Rh 0.000 0.000 0.500
Rh 0.000 0.500 0.000
Rh 0.500 0.000 0.500
F 0.125 0.875 0.250
F 0.875 0.125 0.750

Results
ΔE_f (raw) in meV/atom: -127
Energy relative to the lowest polymorph listed for this composition in meV/atom: 0
Space-group type: No. 141
Calculated volume in A^3/atom: 21.81
DOS(E_F) in states/eV/atom: 0.848